Entry from Alexandria via LeMat-Bulk: crystalline NdTeH at its relaxed geometry (PBE).

Lattice parameters (Å, degrees): 4.6699 4.6697 7.3957 71.51 71.51 89.94
Sites, in units of the cell vectors:
1 H 0.1543 0.5944 0.6085
2 H 0.6541 0.0946 0.6085
3 Te 0.9042 0.3443 0.1085
4 Te 0.4042 0.8444 0.1085
5 Nd 0.5655 0.5056 0.7868
6 Nd 0.2430 0.1832 0.4302

space-group type	C2/m
spin magnetization	0.0	μB/f.u.
DOS at the Fermi energy	0.49	states/eV/atom
total DFT energy (no corrections)	-4.340	eV per atom